Compound: Tm6Mg2Tc
Source: the Alexandria database
Functional: PBE
Structure: optimized geometry

Values from the calculation:
Calculated volume   488.27 Å³/cell
Relative energy among the computed polymorphs   0.0 meV/atom
Spin magnetization   0.0 μB per formula unit
Formation energy from the elements   -2.66 kJ per mole of atoms

Structure (CIF):
```
data_Tm6Mg2Tc
_chemical_formula_sum 'Tm12 Mg4 Tc2'
_cell_length_a 3.6761
_cell_length_b 15.0018
_cell_length_c 8.8538
_cell_angle_alpha 90.00
_cell_angle_beta 90.00
_cell_angle_gamma 90.00
_space_group_name_H-M_alt 'A m m 2'
_space_group_IT_number 38
loop_
_space_group_symop_operation_xyz
'x,y,z'
'-x,-y,z'
'-x,y,z'
'x,-y,z'
'x,y+1/2,z+1/2'
'-x,-y+1/2,z+1/2'
'-x,y+1/2,z+1/2'
'x,-y+1/2,z+1/2'
loop_
_atom_site_label
_atom_site_type_symbol
_atom_site_fract_x
_atom_site_fract_y
_atom_site_fract_z
_atom_site_occupancy
Tm1 Tm 0.0000 0.0000 0.0000 1
Tm2 Tm 0.0000 0.1176 0.6211 1
Tm3 Tm 0.5000 0.0000 0.3580 1
Tm4 Tm 0.5000 0.1864 0.9324 1
Mg1 Mg 0.0000 0.1689 0.2457 1
Tc1 Tc 0.5000 0.0000 0.7636 1
```

---

Compound: BiSeO4F
Source: the Alexandria database
Functional: PBE
Structure: optimized geometry

Values from the calculation:
Formation energy from raw total energies   -1.134 eV/atom
Calculated volume   460.70 Å³/cell
Spin magnetization   0.0 μB per formula unit

Structure (CIF):
```
data_BiSeO4F
_chemical_formula_sum 'Bi4 Se4 O16 F4'
_cell_length_a 9.4773
_cell_length_b 7.3425
_cell_length_c 6.9033
_cell_angle_alpha 90.00
_cell_angle_beta 106.46
_cell_angle_gamma 90.00
_space_group_name_H-M_alt 'C 1 2/m 1'
_space_group_IT_number 12
loop_
_space_group_symop_operation_xyz
'x,y,z'
'-x,-y,-z'
'-x,y,-z'
'x,-y,z'
'x+1/2,y+1/2,z'
'-x+1/2,-y+1/2,-z'
'-x+1/2,y+1/2,-z'
'x+1/2,-y+1/2,z'
loop_
_atom_site_label
_atom_site_type_symbol
_atom_site_fract_x
_atom_site_fract_y
_atom_site_fract_z
_atom_site_occupancy
Bi1 Bi 0.2055 0.0000 0.1282 1
Se1 Se 0.1530 0.5000 0.2819 1
O1 O 0.0207 0.5000 0.7196 1
O2 O 0.1920 0.3250 0.1426 1
O3 O 0.2294 0.0000 0.4888 1
F1 F 0.0224 0.0000 0.8284 1
```

---

Compound: Ca2B2PtRh5
Source: the Alexandria database
Functional: PBE
Structure: optimized geometry

Values from the calculation:
Calculated volume   291.43 Å³/cell
Spin magnetization   0.0 μB per formula unit
Formation energy from the elements   -46.91 kJ per mole of atoms

Structure (CIF):
```
data_Ca2B2PtRh5
_chemical_formula_sum 'Ca4 B4 Pt2 Rh10'
_cell_length_a 9.9129
_cell_length_b 9.9129
_cell_length_c 2.9657
_cell_angle_alpha 90.00
_cell_angle_beta 90.00
_cell_angle_gamma 90.00
_space_group_name_H-M_alt 'P 4/m b m'
_space_group_IT_number 127
_space_group_name_Hall '-P 4 2ab'
loop_
_atom_site_label
_atom_site_type_symbol
_atom_site_fract_x
_atom_site_fract_y
_atom_site_fract_z
_atom_site_occupancy
Ca1 Ca 0.1789 0.3211 0.0000 1
B1 B 0.1213 0.6213 0.0000 1
Pt1 Pt 0.0000 0.0000 0.0000 1
Rh1 Rh 0.0000 0.5000 0.5000 1
Rh2 Rh 0.0688 0.7714 0.5000 1
```

---

Compound: EuLuZnIn
Source: the Alexandria database
Functional: PBE
Structure: optimized geometry

Values from the calculation:
Calculated volume   415.51 Å³/cell
Spin magnetization   7.2 μB per formula unit
Formation energy from the elements   -32.27 kJ per mole of atoms

Structure (CIF):
```
data_EuLuZnIn
_chemical_formula_sum 'Eu4 Lu4 Zn4 In4'
_cell_length_a 7.4621
_cell_length_b 7.4621
_cell_length_c 7.4621
_cell_angle_alpha 90.00
_cell_angle_beta 90.00
_cell_angle_gamma 90.00
_space_group_name_H-M_alt 'F -4 3 m'
_space_group_IT_number 216
_space_group_name_Hall 'F -4 2 3'
loop_
_atom_site_label
_atom_site_type_symbol
_atom_site_fract_x
_atom_site_fract_y
_atom_site_fract_z
_atom_site_occupancy
Eu1 Eu 0.0000 0.0000 0.0000 1
Lu1 Lu 0.0000 0.0000 0.5000 1
Zn1 Zn 0.2500 0.2500 0.2500 1
In1 In 0.2500 0.2500 0.7500 1
```